P.
Computed, not measured: a relaxed structure of BaFeW2 at the PBE level of DFT.

total magnetic moment	0.585	μB per atom
volume	19.6	Å³ per atom
SG	No. 47
DOS(E_F)	4.8	states/eV per cell

a b c (Å): 3.102 4.648 5.436
angles (deg): 90.00 90.00 90.00
Site moments in Bohr magnetons follow the coordinates.
Atoms (fractional coordinates):
W: 0.000 0.000 0.000  0.09
Ba: 0.500 0.000 0.500  -0.09
W: 0.500 0.500 0.000  -0.09
Fe: 0.000 0.500 0.500  2.50



Q.
Computed, not measured: a relaxed structure of BaFeW2 at the PBE level of DFT.

total magnetic moment	0.621	μB per atom
volume	21.4	Å³ per atom
SG	No. 6
DOS(E_F)	5.4	states/eV per cell

a b c (Å): 3.281 3.286 8.570
angles (deg): 67.69 90.00 90.00
Site moments in Bohr magnetons follow the coordinates.
Atoms (fractional coordinates):
Ba: 0.000 0.494 0.507  -0.02
W: 0.500 0.338 0.162  0.30
W: 0.000 0.004 0.995  -0.18
Fe: 0.500 0.664 0.836  2.38



R.
Computed, not measured: a relaxed structure of BaFeW2 at the PBE level of DFT.

total magnetic moment	0.534	μB per atom
volume	19.2	Å³ per atom
SG	No. 216
DOS(E_F)	3.4	states/eV per cell

a b c (Å): 4.772 4.772 4.772
angles (deg): 119.98 119.98 90.04
Site moments in Bohr magnetons follow the coordinates.
Atoms (fractional coordinates):
W: 0.250 0.750 0.500  0.10
Fe: 0.750 0.250 0.500  2.56
Ba: 0.500 0.500 0.000  -0.05
W: 0.000 0.000 0.000  -0.34



Most favorable first, least favorable last: Q, R, P



P.
Computed, not measured: a relaxed structure of BaFeW2 at the PBE level of DFT.

total magnetic moment	0.584	μB per atom
volume	20.0	Å³ per atom
SG	No. 65
DOS(E_F)	4.1	states/eV per cell

a b c (Å): 5.946 5.946 2.796
angles (deg): 90.00 90.00 125.83
Site moments in Bohr magnetons follow the coordinates.
Atoms (fractional coordinates):
Ba: 0.500 0.000 0.500  -0.07
W: 0.500 0.500 0.000  -0.02
Fe: 0.000 0.500 0.500  2.57
W: 0.000 0.000 0.000  -0.02



Q.
Computed, not measured: a relaxed structure of BaFeW2 at the PBE level of DFT.

total magnetic moment	0.363	μB per atom
volume	20.0	Å³ per atom
SG	No. 123
DOS(E_F)	5.0	states/eV per cell

a b c (Å): 5.385 3.852 3.852
angles (deg): 90.00 90.00 90.00
Site moments in Bohr magnetons follow the coordinates.
Atoms (fractional coordinates):
Fe: 0.500 0.000 0.500  1.93
Ba: 0.500 0.500 0.000  -0.10
W: 0.000 0.000 0.000  -0.10
W: 0.000 0.500 0.500  -0.10



Most favorable first, least favorable last: P, Q